# SrLi6Cd

A relaxed SrLi6Cd crystal (PBE, the Alexandria database).

Calculated values
* total magnetic moment: 0.0 μB/f.u.
* formation enthalpy at 0 K: 0.040 eV/atom
* Fermi-level density of states: 3.664 states/eV per cell

abc: 4.932 4.932 8.534
angles: 90.00 90.00 90.00
Space group P4/mmm (No. 123)
Symmetry-distinct sites (fractional):
Sr1 0.000 0.000 0.000 (multiplicity 1)
Li1 0.000 0.500 0.335 (multiplicity 4)
Li2 0.500 0.500 0.162 (multiplicity 2)
Cd1 0.000 0.000 0.500 (multiplicity 1)

---

# Sr2LiCd

A relaxed Sr2LiCd crystal (PBE, the Alexandria database).

Calculated values
* total magnetic moment: 0.0 μB/f.u.
* formation enthalpy at 0 K: -0.125 eV/atom
* Fermi-level density of states: 7.483 states/eV per cell

abc: 4.054 5.810 11.905
angles: 90.00 90.00 90.00
Space group Imm2 (No. 44)
Symmetry-distinct sites (fractional):
Sr1 0.000 0.000 0.000 (multiplicity 2)
Sr2 0.000 0.500 0.208 (multiplicity 2)
Li1 0.000 0.500 0.783 (multiplicity 2)
Cd1 0.000 0.000 0.456 (multiplicity 2)

---

# Sr2LiCd

A relaxed Sr2LiCd crystal (PBE, the Alexandria database).

Calculated values
* total magnetic moment: 0.0 μB/f.u.
* formation enthalpy at 0 K: -0.137 eV/atom
* Fermi-level density of states: 2.349 states/eV per cell

abc: 3.955 3.955 8.960
angles: 90.00 90.00 90.00
Space group P4mm (No. 99)
Symmetry-distinct sites (fractional):
Sr1 0.000 0.000 0.000 (multiplicity 1)
Sr2 0.500 0.500 0.364 (multiplicity 1)
Li1 0.500 0.500 0.741 (multiplicity 1)
Cd1 0.000 0.000 0.606 (multiplicity 1)

---

# SrLi5Cd2

A relaxed SrLi5Cd2 crystal (PBE, the Alexandria database).

Calculated values
* total magnetic moment: 0.0 μB/f.u.
* formation enthalpy at 0 K: -0.120 eV/atom
* Fermi-level density of states: 8.201 states/eV per cell

abc: 4.410 8.271 10.872
angles: 90.00 90.00 90.00
Space group Immm (No. 71)
Symmetry-distinct sites (fractional):
Sr1 0.000 0.000 0.000 (multiplicity 2)
Li1 0.000 0.183 0.350 (multiplicity 8)
Li2 0.000 0.500 0.000 (multiplicity 2)
Cd1 0.000 0.500 0.255 (multiplicity 4)

---

# SrLi2Cd4

A relaxed SrLi2Cd4 crystal (PBE, the Alexandria database).

Calculated values
* total magnetic moment: 0.0 μB/f.u.
* formation enthalpy at 0 K: -0.280 eV/atom
* Fermi-level density of states: 8.083 states/eV per cell

abc: 7.676 7.676 5.605
angles: 90.00 90.00 90.00
Space group I4/mmm (No. 139)
Symmetry-distinct sites (fractional):
Sr1 0.000 0.000 0.000 (multiplicity 2)
Li1 0.000 0.500 0.250 (multiplicity 4)
Cd1 0.193 0.193 0.500 (multiplicity 8)

---

# Sr6Li2Cd

A relaxed Sr6Li2Cd crystal (PBE, the Alexandria database).

Calculated values
* total magnetic moment: 0.0 μB/f.u.
* formation enthalpy at 0 K: -0.062 eV/atom
* Fermi-level density of states: 44.583 states/eV per cell

abc: 5.918 14.409 17.761
angles: 90.00 90.00 90.00
Space group Fmmm (No. 69)
Symmetry-distinct sites (fractional):
Sr1 0.000 0.138 0.000 (multiplicity 8)
Sr2 0.000 0.143 0.337 (multiplicity 16)
Li1 0.000 0.000 0.169 (multiplicity 8)
Cd1 0.000 0.000 0.500 (multiplicity 4)

---

# Sr3Li2Cd7

A relaxed Sr3Li2Cd7 crystal (PBE, the Alexandria database).

Calculated values
* total magnetic moment: 0.0 μB/f.u.
* formation enthalpy at 0 K: -0.286 eV/atom
* Fermi-level density of states: 25.864 states/eV per cell

abc: 6.1050 6.1050 29.3080
angles: 90.00 90.00 120.00
Space group R-3m (No. 166, hexagonal axes)
Symmetry-distinct sites (fractional):
Sr1 0.0000 0.0000 0.0000 (multiplicity 3)
Sr2 0.0000 0.0000 0.1406 (multiplicity 6)
Li1 0.0000 0.0000 0.3333 (multiplicity 6)
Cd1 0.0000 0.0000 0.5000 (multiplicity 3)
Cd2 0.0021 0.5011 0.9208 (multiplicity 18)

---

# SrLi4Cd2

A relaxed SrLi4Cd2 crystal (PBE, the Alexandria database).

Calculated values
* total magnetic moment: 0.0 μB/f.u.
* formation enthalpy at 0 K: -0.159 eV/atom
* Fermi-level density of states: 6.242 states/eV per cell

abc: 9.312 7.428 5.903
angles: 90.00 129.12 90.00
Space group C2/m (No. 12)
Symmetry-distinct sites (fractional):
Sr1 0.000 0.000 0.000 (multiplicity 2)
Li1 0.193 0.192 0.693 (multiplicity 8)
Cd1 0.001 0.500 0.252 (multiplicity 4)

---

# Sr4LiCd3

A relaxed Sr4LiCd3 crystal (PBE, the Alexandria database).

Calculated values
* total magnetic moment: 0.0 μB/f.u.
* formation enthalpy at 0 K: -0.251 eV/atom
* Fermi-level density of states: 6.620 states/eV per cell

abc: 4.093 5.767 11.555
angles: 90.00 90.00 90.00
Space group Pmmm (No. 47)
Symmetry-distinct sites (fractional):
Sr1 0.000 0.000 0.000 (multiplicity 1)
Sr2 0.000 0.000 0.500 (multiplicity 1)
Sr3 0.000 0.500 0.243 (multiplicity 2)
Li1 0.500 0.500 0.500 (multiplicity 1)
Cd1 0.500 0.000 0.254 (multiplicity 2)
Cd2 0.500 0.500 0.000 (multiplicity 1)

---

# Sr5Li5Cd2

A relaxed Sr5Li5Cd2 crystal (PBE, the Alexandria database).

Calculated values
* total magnetic moment: 0.0 μB/f.u.
* formation enthalpy at 0 K: -0.078 eV/atom
* Fermi-level density of states: 15.874 states/eV per cell

abc: 17.580 5.255 11.220
angles: 90.00 127.60 90.00
Space group C2/m (No. 12)
Symmetry-distinct sites (fractional):
Sr1 0.000 0.000 0.000 (multiplicity 2)
Sr2 0.137 0.000 0.439 (multiplicity 4)
Sr3 0.167 0.000 0.831 (multiplicity 4)
Li1 0.000 0.500 0.500 (multiplicity 2)
Li2 0.039 0.500 0.841 (multiplicity 4)
Li3 0.249 0.500 0.740 (multiplicity 4)
Cd1 0.150 0.500 0.205 (multiplicity 4)

---

# SrLi8Cd2

A relaxed SrLi8Cd2 crystal (PBE, the Alexandria database).

Calculated values
* total magnetic moment: 0.0 μB/f.u.
* formation enthalpy at 0 K: 0.130 eV/atom
* Fermi-level density of states: 9.626 states/eV per cell

abc: 5.517 5.517 20.581
angles: 90.00 90.00 90.00
Space group I4/mmm (No. 139)
Symmetry-distinct sites (fractional):
Sr1 0.000 0.000 0.000 (multiplicity 2)
Li1 0.249 0.249 0.148 (multiplicity 16)
Cd1 0.000 0.500 0.250 (multiplicity 4)

---

# SrLi2Cd

A relaxed SrLi2Cd crystal (PBE, the Alexandria database).

Calculated values
* total magnetic moment: 0.0 μB/f.u.
* formation enthalpy at 0 K: -0.125 eV/atom
* Fermi-level density of states: 2.015 states/eV per cell

abc: 3.826 3.807 7.521
angles: 90.00 90.05 90.00
Space group Pm (No. 6)
Symmetry-distinct sites (fractional):
Sr1 0.000 0.000 0.000 (multiplicity 1)
Li1 0.001 0.000 0.528 (multiplicity 1)
Li2 0.502 0.500 0.333 (multiplicity 1)
Cd1 0.499 0.500 0.710 (multiplicity 1)

---

What is the formation enthalpy at 0 K in the third record?
-0.137 eV/atom

---

What did the first record say?
# SrLi6Cd

A relaxed SrLi6Cd crystal (PBE, the Alexandria database).

Calculated values
* total magnetic moment: 0.0 μB/f.u.
* formation enthalpy at 0 K: 0.040 eV/atom
* Fermi-level density of states: 3.664 states/eV per cell

abc: 4.932 4.932 8.534
angles: 90.00 90.00 90.00
Space group P4/mmm (No. 123)
Symmetry-distinct sites (fractional):
Sr1 0.000 0.000 0.000 (multiplicity 1)
Li1 0.000 0.500 0.335 (multiplicity 4)
Li2 0.500 0.500 0.162 (multiplicity 2)
Cd1 0.000 0.000 0.500 (multiplicity 1)

---

Look up the total magnetic moment of the eighth one.
0.0 μB/f.u.